This record from Alexandria describes Re2AsCl after structural relaxation. The functional is PBE-GGA.

The structure in POSCAR format:
```
Re2AsCl
1.0
2.5081 -1.7967 3.0898
-1.8282 -1.6855 3.5892
-0.0413 -4.3242 0.6043
Re As Cl
2 1 1
Direct
0.2500 0.2500 0.2500
0.7500 0.7500 0.7500
0.5000 0.5000 0.5000
0.0000 0.0000 0.0000
```

Space group = Fm-3m
Energy above the lowest structure with this stoichiometry = 0.944 eV/atom